Below is crystalline YHf3Hg at its relaxed geometry, with properties calculated at the GGA-PBE level.

Values from the calculation:
D(E_F): 1.756 states/eV/atom
magnetic moment: 0.000 μB per atom
E: -0.4216 Ry/atom
formation enthalpy at 0 K: 1.5888 eV per atom
space group: Pm-3m, No. 221

a = 5.189 Å, b = 5.189 Å, c = 5.189 Å
α = 90.00°, β = 90.00°, γ = 90.00°
Positions (direct):
1 Y 0.000 0.000 0.000
2 Hf 0.500 0.000 0.000
3 Hf 0.000 0.500 0.000
4 Hf 0.000 0.000 0.500
5 Hg 0.500 0.500 0.500